VASP calculation (PBE) on an optimized crystal structure of RbTaBe3.

Results
- Energy relative to the lowest polymorph listed for this composition: 0.0 meV/atom
- VASP energy: -3.3289 eV/atom

```
data_RbTaBe3
_chemical_formula_sum 'Rb1 Ta1 Be3'
_cell_length_a 4.909
_cell_length_b 4.909
_cell_length_c 4.909
_cell_angle_alpha 90.00
_cell_angle_beta 90.00
_cell_angle_gamma 90.00
_symmetry_space_group_name_H-M 'P m -3 m'
_symmetry_Int_Tables_number 221
_symmetry_space_group_name_Hall '-P 4 2 3'
loop_
_atom_site_label
_atom_site_type_symbol
_atom_site_fract_x
_atom_site_fract_y
_atom_site_fract_z
_atom_site_occupancy
Rb1 Rb 0.000 0.000 0.000 1
Ta1 Ta 0.500 0.500 0.500 1
Be1 Be 0.000 0.500 0.500 1
```



VASP calculation (PBE) on an optimized crystal structure of Sm8Er3Tm3.

Results
- VASP energy: -4.5173 eV/atom

```
data_Sm8Er3Tm3
_chemical_formula_sum 'Sm16 Er6 Tm6'
_cell_length_a 5.616
_cell_length_b 10.800
_cell_length_c 14.994
_cell_angle_alpha 90.00
_cell_angle_beta 90.00
_cell_angle_gamma 90.00
_symmetry_space_group_name_H-M 'I m m m'
_symmetry_Int_Tables_number 71
_symmetry_space_group_name_Hall '-I 2 2'
loop_
_atom_site_label
_atom_site_type_symbol
_atom_site_fract_x
_atom_site_fract_y
_atom_site_fract_z
_atom_site_occupancy
Sm1 Sm 0.000 0.157 0.224 1
Sm2 Sm 0.000 0.338 0.396 1
Er1 Er 0.000 0.000 0.000 1
Er2 Er 0.000 0.302 0.000 1
Tm1 Tm 0.000 0.000 0.500 1
Tm2 Tm 0.000 0.500 0.181 1
```



| no. | total moment (μB/cell) |
| --- | --- |
| 1 | 0.000 |
| 2 | 0.000 |